Material: LiCo2P
Method: DFT, GGA-PBE
State: relaxed

## Properties
- Magnetic moment: 0.14 Bohr magnetons per cell
- Energy of formation: -0.286 eV per atom

Cell lengths 3.7414, 3.7414, 2.8468 Å; angles 90.00, 90.00, 90.00 degrees
With the nearest neighbours (Å) after each atom.
Space group P4/mmm (No. 123)
One atom of each set of equivalent atoms:
Li (0.0000, 0.0000, 0.0000) x1  8 Co 2.35
Co (0.0000, 0.5000, 0.5000) x2  4 P 2.35, 4 Li 2.35
P (0.5000, 0.5000, 0.0000) x1  8 Co 2.35

***

Material: Li4Ga3Ag5
Method: DFT, GGA-PBE
State: relaxed

## Properties
- Magnetic moment: 0.02 Bohr magnetons per cell
- Energy of formation: -0.005 eV per atom

Cell lengths 14.8828, 4.8138, 7.8267 Å; angles 90.00, 121.46, 90.00 degrees
With the nearest neighbours (Å) after each atom.
Space group C2/m (No. 12)
One atom of each set of equivalent atoms:
Li (0.1115, 0.0000, 0.4123) x4  4 Ag 2.61-2.75, 1 Li 2.87
Li (0.1149, 0.0000, 0.8089) x4  4 Ag 2.61-2.80, 1 Li 2.87
Ga (0.0000, 0.5000, 0.0000) x2  4 Ag 2.41-2.69
Ga (0.2422, 0.5000, 0.7414) x4  2 Ag 2.61-2.63
Ag (0.0000, 0.0000, 0.0000) x2  2 Ga 2.41
Ag (0.1798, 0.5000, 0.9979) x4  3 Li 2.61-2.72, 2 Ga 2.61-2.69, 1 Ag 2.82
Ag (0.1835, 0.5000, 0.3612) x4  3 Li 2.61-2.75, 2 Ga 2.63-2.72, 1 Ag 2.82